The following is a GGA-PBE calculation of an optimized crystal structure of ZnCu4Pd, from Alexandria.

Cell: 6.8172 6.8172 6.8172 Å, 90.00 90.00 90.00°
Space group F-43m (No. 216)
Inequivalent atoms, fractional coordinates:
Zn: 0.0000 0.0000 0.0000 [4 per cell]
Cu: 0.1251 0.1251 0.3749 [16 per cell]
Pd: 0.2500 0.2500 0.7500 [4 per cell]

Values from the calculation:
excess energy over the best structure of this formula in the dataset	83	meV per atom
calculated formation energy	-5	kJ/mol of atoms
magnetic moment	0.0	μB per cell

---

The following is a GGA-PBE calculation of an optimized crystal structure of Zn12Cu7Pd, from Alexandria.

Cell: 10.3539 10.3539 8.8896 Å, 90.00 90.00 120.00°
Space group R-3 (No. 148, hexagonal axes)
Inequivalent atoms, fractional coordinates:
Zn: 0.0011 0.2565 0.0006 [18 per cell]
Zn: 0.0578 0.5267 0.1221 [18 per cell]
Cu: 0.0000 0.0000 0.5000 [3 per cell]
Cu: 0.0833 0.1711 0.7444 [18 per cell]
Pd: 0.0000 0.0000 0.0000 [3 per cell]

Values from the calculation:
calculated formation energy	-6	kJ/mol of atoms
magnetic moment	0.0	μB per cell

---

The following is a GGA-PBE calculation of an optimized crystal structure of Zn2Cu5Pd12, from Alexandria.

Cell: 12.3855 8.1085 5.6914 Å, 90.00 93.65 90.00°
Space group C2/m (No. 12)
Inequivalent atoms, fractional coordinates:
Zn: 0.0000 0.2289 0.0000 [4 per cell]
Cu: 0.0000 0.0000 0.5000 [2 per cell]
Cu: 0.1668 0.5000 0.8972 [4 per cell]
Cu: 0.2374 0.0000 0.4980 [4 per cell]
Pd: 0.0455 0.5000 0.2602 [4 per cell]
Pd: 0.1017 0.2686 0.6062 [8 per cell]
Pd: 0.1368 0.0000 0.8943 [4 per cell]
Pd: 0.1955 0.2526 0.1971 [8 per cell]

Values from the calculation:
calculated formation energy	-10	kJ/mol of atoms
magnetic moment	0.0	μB per cell

---

The following is a GGA-PBE calculation of an optimized crystal structure of ZnCu4Pd3, from Alexandria.

Cell: 21.6010 4.0231 2.7440 Å, 90.00 97.23 90.00°
Space group C2/m (No. 12)
Inequivalent atoms, fractional coordinates:
Zn: 0.0000 0.0000 0.0000 [2 per cell]
Cu: 0.1020 0.5000 0.1011 [4 per cell]
Cu: 0.1562 0.0000 0.6559 [4 per cell]
Pd: 0.0000 0.5000 0.5000 [2 per cell]
Pd: 0.2173 0.5000 0.2175 [4 per cell]

Values from the calculation:
calculated formation energy	0	kJ/mol of atoms
magnetic moment	0.0	μB per cell

---

The following is a GGA-PBE calculation of an optimized crystal structure of Zn15Cu4Pd, from Alexandria.

Cell: 3.8006 3.8006 19.3240 Å, 90.00 90.00 90.00°
Space group P4/mmm (No. 123)
Inequivalent atoms, fractional coordinates:
Zn: 0.0000 0.0000 0.0000 [1 per cell]
Zn: 0.0000 0.0000 0.2022 [2 per cell]
Zn: 0.0000 0.0000 0.4013 [2 per cell]
Zn: 0.0000 0.5000 0.1041 [4 per cell]
Zn: 0.0000 0.5000 0.3016 [4 per cell]
Zn: 0.0000 0.5000 0.5000 [2 per cell]
Cu: 0.5000 0.5000 0.2038 [2 per cell]
Cu: 0.5000 0.5000 0.4001 [2 per cell]
Pd: 0.5000 0.5000 0.0000 [1 per cell]

Values from the calculation:
calculated formation energy	-8	kJ/mol of atoms
magnetic moment	0.0	μB per cell

---

The following is a GGA-PBE calculation of an optimized crystal structure of ZnCu2Pd4, from Alexandria.

Cell: 7.4904 7.4904 7.5358 Å, 90.00 90.00 90.00°
Space group I-4 (No. 82)
Inequivalent atoms, fractional coordinates:
Zn: 0.0000 0.0000 0.0000 [2 per cell]
Zn: 0.0000 0.5000 0.2500 [2 per cell]
Cu: 0.1260 0.2494 0.6243 [8 per cell]
Pd: 0.0813 0.1700 0.2951 [8 per cell]
Pd: 0.0807 0.3302 0.9536 [8 per cell]

Values from the calculation:
excess energy over the best structure of this formula in the dataset	111	meV per atom
calculated formation energy	-8	kJ/mol of atoms
magnetic moment	0.0	μB per cell